The following is a DFT calculation (PBE with a Hubbard U) of an optimized crystal structure of Dy2NpCrO8.

## Properties
Raw total energy   -102.65 eV/cell
Total moment   3.06 μB/f.u.
Space group   No. 65
DOS(E_F)   0.175 states/eV per atom

Unit cell a=5.0028 b=5.0020 c=6.6988 alpha=90.00 beta=90.00 gamma=92.31
With the nearest neighbours (Å) after each atom.
Atoms (fractional coordinates):
1 O 0.8227 0.1767 0.7585  1 Np 2.06, 1 Cr 2.15
2 O 0.2862 0.2861 0.5004  1 Cr 1.98, 2 Dy 2.16
3 O 0.8233 0.1773 0.2415  1 Np 2.06, 1 Cr 2.15
4 O 0.7122 0.7121 0.0003  1 Np 1.99
5 O 0.1767 0.8227 0.7585  1 Np 2.06, 1 Cr 2.15
6 O 0.2878 0.2879 0.9997  1 Np 1.99
7 O 0.1773 0.8233 0.2415  1 Np 2.06, 1 Cr 2.15
8 O 0.7138 0.7139 0.4996  1 Cr 1.98, 2 Dy 2.16
9 Np 0.0000 0.0000 0.0000  6 O 1.99-2.06
10 Cr 0.0000 0.0000 0.5000  6 O 1.98-2.15
11 Dy 0.5005 0.5005 0.7353  6 O 2.16-2.34
12 Dy 0.4995 0.4995 0.2647  6 O 2.16-2.34